VASP calculation (PBE) on a relaxed structure of PmPuMnIr.

a b c (Å): 6.9471 6.9471 6.9471
angles (deg): 90.00 90.00 90.00
Space group F-43m (No. 216)
Unique sites:
Pm 0.0000 0.0000 0.0000 x4
Pu 0.0000 0.0000 0.5000 x4
Mn 0.2500 0.2500 0.7500 x4
Ir 0.2500 0.2500 0.2500 x4

## Properties
ΔE_f = -0.182 eV per atom
E_tot = -9.46 eV/atom
N(E_F) = 5.164 states/eV/f.u.